CrFe2: relaxed, PBE.

a b c (Å): 5.6257 5.6257 3.5331
angles (deg): 90.00 90.00 143.63
Last column: nearest neighbours and their distance in Å.
Sites, in units of the cell vectors:
Cr 0.9100 0.0900 0.7500  10 Fe 2.45-2.55, 2 Cr 2.61
Cr 0.0900 0.9100 0.2500  10 Fe 2.45-2.55, 2 Cr 2.61
Fe 0.5824 0.4176 0.7500  6 Cr 2.49-2.55, 6 Fe 2.50-2.52
Fe 0.4176 0.5824 0.2500  6 Cr 2.49-2.55, 6 Fe 2.50-2.52
Fe 0.2500 0.7500 0.7500  4 Cr 2.45-2.46, 8 Fe 2.49-2.52
Fe 0.7500 0.2500 0.2500  4 Cr 2.45-2.46, 8 Fe 2.49-2.52

Output
Total magnetic moment, μB/f.u.: 1.365
Energy of formation from the pure elements, kJ/mol of formula units: 31



CrFe: relaxed, PBE.

a b c (Å): 8.9135 8.9135 2.4632
angles (deg): 90.00 90.00 90.00
Last column: nearest neighbours and their distance in Å.
Sites, in units of the cell vectors:
Cr 0.4035 0.8594 0.0000  4 Fe 2.29-2.56, 6 Cr 2.46-2.48
Cr 0.5965 0.1406 0.0000  4 Fe 2.29-2.56, 6 Cr 2.46-2.48
Cr 0.1406 0.4035 0.0000  4 Fe 2.29-2.56, 6 Cr 2.46-2.48
Cr 0.8594 0.5965 0.0000  4 Fe 2.29-2.56, 6 Cr 2.46-2.48
Cr 0.9035 0.3594 0.5000  4 Fe 2.29-2.56, 6 Cr 2.46-2.48
Cr 0.0965 0.6406 0.5000  4 Fe 2.29-2.56, 6 Cr 2.46-2.48
Cr 0.6406 0.9035 0.5000  4 Fe 2.29-2.56, 6 Cr 2.46-2.48
Cr 0.3594 0.0965 0.5000  4 Fe 2.29-2.56, 6 Cr 2.46-2.48
Fe 0.3896 0.3404 0.0000  4 Cr 2.29-2.56, 4 Fe 2.45-2.46
Fe 0.6104 0.6596 0.0000  4 Cr 2.29-2.56, 4 Fe 2.45-2.46
Fe 0.6596 0.3896 0.0000  4 Cr 2.29-2.56, 4 Fe 2.45-2.46
Fe 0.3404 0.6104 0.0000  4 Cr 2.29-2.56, 4 Fe 2.45-2.46
Fe 0.8896 0.8404 0.5000  4 Cr 2.29-2.56, 4 Fe 2.45-2.46
Fe 0.1104 0.1596 0.5000  4 Cr 2.29-2.56, 4 Fe 2.45-2.46
Fe 0.1596 0.8896 0.5000  4 Cr 2.29-2.56, 4 Fe 2.45-2.46
Fe 0.8404 0.1104 0.5000  4 Cr 2.29-2.56, 4 Fe 2.45-2.46

Output
Total magnetic moment, μB/f.u.: 1.270
Energy of formation from the pure elements, kJ/mol of formula units: 108



Cr5Fe: relaxed, PBE.

a b c (Å): 2.4918 2.4918 12.9108
angles (deg): 90.00 90.00 120.00
Last column: nearest neighbours and their distance in Å.
Sites, in units of the cell vectors:
Cr 0.6667 0.3333 0.8440  3 Fe 2.48, 9 Cr 2.49-2.65
Cr 0.0000 0.0000 0.6721  12 Cr 2.49-2.65
Cr 0.6667 0.3333 0.5000  12 Cr 2.49-2.65
Cr 0.0000 0.0000 0.3279  12 Cr 2.49-2.65
Cr 0.6667 0.3333 0.1560  3 Fe 2.48, 9 Cr 2.49-2.65
Fe 0.0000 0.0000 0.0000  6 Cr 2.48, 6 Fe 2.49

Output
Total magnetic moment, μB/f.u.: 0.008
Energy of formation from the pure elements, kJ/mol of formula units: 182



CrFe: relaxed, PBE.

a b c (Å): 2.5012 2.5012 4.0390
angles (deg): 90.00 90.00 120.00
Last column: nearest neighbours and their distance in Å.
Sites, in units of the cell vectors:
Cr 0.0000 0.0000 0.0000  6 Fe 2.48, 6 Cr 2.50
Fe 0.3333 0.6667 0.5000  6 Cr 2.48, 6 Fe 2.50

Output
Total magnetic moment, μB/f.u.: 0.001
Energy of formation from the pure elements, kJ/mol of formula units: 33



CrFe4: relaxed, PBE.

a b c (Å): 10.2417 10.1509 2.4462
angles (deg): 85.23 81.00 13.77
Last column: nearest neighbours and their distance in Å.
Sites, in units of the cell vectors:
Cr 0.0000 0.0000 0.0000  4 Cr 2.45, 4 Fe 2.46
Fe 0.4007 0.4007 0.5993  6 Fe 2.45-2.47, 2 Cr 2.46
Fe 0.8005 0.8005 0.1995  8 Fe 2.45-2.49
Fe 0.1995 0.1995 0.8005  8 Fe 2.45-2.49
Fe 0.5993 0.5993 0.4007  6 Fe 2.45-2.47, 2 Cr 2.46

Output
Total magnetic moment, μB/f.u.: 8.717
Energy of formation from the pure elements, kJ/mol of formula units: 3



CrFe: relaxed, PBE.

a b c (Å): 2.4931 2.4931 8.1653
angles (deg): 90.00 90.00 120.00
Last column: nearest neighbours and their distance in Å.
Sites, in units of the cell vectors:
Cr 0.0000 0.0000 0.9891  3 Fe 2.45, 9 Cr 2.49-2.65
Cr 0.3333 0.6667 0.2609  3 Fe 2.45, 9 Cr 2.49-2.65
Fe 0.0000 0.0000 0.5042  9 Fe 2.44-2.49, 3 Cr 2.45
Fe 0.3333 0.6667 0.7458  9 Fe 2.44-2.49, 3 Cr 2.45

Output
Total magnetic moment, μB/f.u.: 0.000
Energy of formation from the pure elements, kJ/mol of formula units: 36



CrFe: relaxed, PBE.

a b c (Å): 2.4256 2.4256 4.0169
angles (deg): 90.00 90.00 106.25
Last column: nearest neighbours and their distance in Å.
Sites, in units of the cell vectors:
Cr 0.0000 0.0000 0.0000  4 Cr 2.43, 4 Fe 2.48
Fe 0.5000 0.5000 0.5000  4 Fe 2.43, 4 Cr 2.48

Output
Total magnetic moment, μB/f.u.: 1.879
Energy of formation from the pure elements, kJ/mol of formula units: 16



CrFe: relaxed, PBE.

a b c (Å): 2.4913 2.4913 8.4323
angles (deg): 81.50 98.50 120.00
Last column: nearest neighbours and their distance in Å.
Sites, in units of the cell vectors:
Cr 0.0026 0.9974 0.0077  3 Fe 2.49, 9 Cr 2.49-2.63
Cr 0.2474 0.7526 0.7423  3 Fe 2.49, 9 Cr 2.49-2.63
Fe 0.4992 0.5008 0.4975  3 Cr 2.49, 9 Fe 2.49
Fe 0.7508 0.2492 0.2525  3 Cr 2.49, 9 Fe 2.49

Output
Total magnetic moment, μB/f.u.: 0.789
Energy of formation from the pure elements, kJ/mol of formula units: 40



Cr5Fe: relaxed, PBE.

a b c (Å): 4.6791 4.6791 4.6791
angles (deg): 60.00 60.00 60.00
Last column: nearest neighbours and their distance in Å.
Sites, in units of the cell vectors:
Cr 0.8766 0.3745 0.3745  6 Cr 2.33-2.35
Cr 0.7500 0.7500 0.7500  12 Cr 2.74, 4 Fe 2.87
Cr 0.3745 0.8766 0.3745  6 Cr 2.33-2.35
Cr 0.3745 0.3745 0.3745  6 Cr 2.33-2.35
Cr 0.3745 0.3745 0.8766  6 Cr 2.33-2.35
Fe 0.0000 0.0000 0.0000  16 Cr 2.74-2.87

Output
Total magnetic moment, μB/f.u.: 3.664
Energy of formation from the pure elements, kJ/mol of formula units: 143



CrFe: relaxed, PBE.

a b c (Å): 3.5626 3.5626 3.5626
angles (deg): 60.00 60.00 60.00
Last column: nearest neighbours and their distance in Å.
Sites, in units of the cell vectors:
Cr 0.0000 0.0000 0.0000  4 Fe 2.18
Fe 0.2500 0.2500 0.2500  4 Cr 2.18

Output
Total magnetic moment, μB/f.u.: 0.151
Energy of formation from the pure elements, kJ/mol of formula units: 276



CrFe: relaxed, PBE.

a b c (Å): 3.2759 3.2759 3.2759
angles (deg): 60.00 60.00 60.00
Last column: nearest neighbours and their distance in Å.
Sites, in units of the cell vectors:
Cr 0.0000 0.0000 0.0000  6 Fe 2.32
Fe 0.5000 0.5000 0.5000  6 Cr 2.32

Output
Total magnetic moment, μB/f.u.: 0.033
Energy of formation from the pure elements, kJ/mol of formula units: 173



CrFe2: relaxed, PBE.

a b c (Å): 2.4871 2.4871 6.1740
angles (deg): 78.21 78.21 59.93
Last column: nearest neighbours and their distance in Å.
Sites, in units of the cell vectors:
Cr 0.0000 0.0000 0.0000  6 Cr 2.48-2.49, 6 Fe 2.49-2.50
Fe 0.2202 0.2202 0.3395  9 Fe 2.40-2.49, 3 Cr 2.49-2.50
Fe 0.7798 0.7798 0.6605  9 Fe 2.40-2.49, 3 Cr 2.49-2.50

Output
Total magnetic moment, μB/f.u.: 0.001
Energy of formation from the pure elements, kJ/mol of formula units: 44